Material: TaGa2NiGe
Method: DFT, PBE-GGA
State: relaxed

## Properties
Space-group type: P4/mmm
Magnetization: 0.00 μB per formula unit
VASP energy: -0.34727 Ry per atom
DFT formation energy: 0.936 eV per atom
Density: 6.44 g cm⁻³

abc: 5.044 5.044 4.577
angles: 90.00 90.00 90.00
Atoms (fractional coordinates):
Ge 0.500 0.500 0.500
Ta 0.000 0.000 0.000
Ga 0.000 0.500 0.000
Ga 0.500 0.000 0.000
Ni 0.000 0.000 0.500